No. 1
Density functional theory data (PBE) for a relaxed structure of Tm2B6Rh9.

Results
**Raw total energy**: -125.98 eV/cell
**Calculated density**: 9.52 g/cm3
**ΔH_f (0 K)**: -636 meV per atom

a = 5.5875 Å, b = 5.5875 Å, c = 8.5749 Å
α = 90.00°, β = 90.00°, γ = 120.00°
Closest atoms and distances in Å follow each position.
Space group P6/mmm (No. 191)
One atom of each set of equivalent atoms:
Tm (0.0000, 0.0000, 0.2051) [2 per cell]  12 Rh 3.01-3.30, 6 B 3.24
B (0.3333, 0.6667, 0.1675) [4 per cell]  6 Rh 2.16
B (0.3333, 0.6667, 0.5000) [2 per cell]  6 Rh 2.14
Rh (0.0000, 0.5000, 0.0000) [3 per cell]  4 B 2.16
Rh (0.0000, 0.5000, 0.3353) [6 per cell]  4 B 2.14-2.16



No. 2
Density functional theory data (PBE) for a relaxed structure of USiRh.

Results
**Raw total energy**: -104.84 eV/cell
**Calculated density**: 12.09 g/cm3
**Formation energy (no corrections)**: -715.9 meV/atom

a = 7.4422 Å, b = 3.8382 Å, c = 7.0960 Å
α = 90.00°, β = 90.00°, γ = 90.00°
Closest atoms and distances in Å follow each position.
Space group Pnma (No. 62)
One atom of each set of equivalent atoms:
U (0.0015, 0.2500, 0.1318) [4 per cell]  2 U 2.68, 5 Si 2.89-2.96
Si (0.2000, 0.7500, 0.3709) [4 per cell]  4 Rh 2.43-2.50
Rh (0.1304, 0.2500, 0.5674) [4 per cell]  4 Si 2.43-2.50



No. 3
Density functional theory data (PBE) for a relaxed structure of CrCoP2Ru.

Results
**Raw total energy**: -31.47 eV/cell
**Calculated density**: 4.75 g/cm3
**ΔH_f (0 K)**: 1072 meV per atom

a = 4.4673 Å, b = 4.4673 Å, c = 4.8021 Å
α = 90.00°, β = 90.00°, γ = 90.00°
Closest atoms and distances in Å follow each position.
Space group P4/mmm (No. 123)
One atom of each set of equivalent atoms:
Cr (0.0000, 0.0000, 0.0000) [1 per cell]  2 Ru 2.40
Co (0.5000, 0.5000, 0.0000) [1 per cell]  4 Cr 3.16, 8 P 3.28
P (0.0000, 0.5000, 0.5000) [2 per cell]  2 Ru 2.23
Ru (0.0000, 0.0000, 0.5000) [1 per cell]  4 P 2.23, 2 Cr 2.40



No. 4
Density functional theory data (PBE) for a relaxed structure of Sm4ErMg3.

Results
**Raw total energy**: -28.49 eV/cell
**Calculated density**: 5.92 g/cm3
**ΔH_f (0 K)**: -33 meV per atom

a = 3.8297 Å, b = 5.5305 Å, c = 11.1384 Å
α = 90.00°, β = 90.00°, γ = 90.00°
Closest atoms and distances in Å follow each position.
Space group Pmmm (No. 47)
One atom of each set of equivalent atoms:
Sm (0.0000, 0.0000, 0.0000) [1 per cell]  8 Mg 3.36-3.38
Sm (0.0000, 0.0000, 0.5000) [1 per cell]  4 Er 3.36, 4 Mg 3.38
Sm (0.0000, 0.5000, 0.2402) [2 per cell]  6 Mg 3.29-3.37, 2 Er 3.47
Er (0.5000, 0.5000, 0.5000) [1 per cell]  8 Sm 3.36-3.47
Mg (0.5000, 0.0000, 0.2497) [2 per cell]  8 Sm 3.37-3.38
Mg (0.5000, 0.5000, 0.0000) [1 per cell]  8 Sm 3.29-3.36



No. 5
Density functional theory data (PBE) for a relaxed structure of NpTc4As2.

Results
**Raw total energy**: -131.31 eV/cell
**Calculated density**: 10.83 g/cm3
**ΔH_f (0 K)**: -279 meV per atom

a = 4.0812 Å, b = 14.5610 Å, c = 4.0192 Å
α = 90.00°, β = 90.00°, γ = 90.00°
Closest atoms and distances in Å follow each position.
Space group Cmmm (No. 65)
One atom of each set of equivalent atoms:
Np (0.0000, 0.0000, 0.0000) [2 per cell]  8 As 3.14, 8 Tc 3.40-3.50
Tc (0.0000, 0.1884, 0.5000) [4 per cell]  2 As 2.51, 4 Tc 2.62-2.72
Tc (0.0000, 0.3043, 0.0000) [4 per cell]  2 As 2.55, 4 Tc 2.58-2.62
As (0.0000, 0.4116, 0.5000) [4 per cell]  4 Tc 2.51-2.55, 1 As 2.57



No. 6
Density functional theory data (PBE) for a relaxed structure of Mn2Fe2Hg.

Results
**Raw total energy**: -66.62 eV/cell
**Offset from the most stable computed form**: 17 meV per atom
**Calculated density**: 11.04 g/cm3
**ΔH_f (0 K)**: 451 meV per atom

a = 7.0014 Å, b = 7.0014 Å, c = 2.5896 Å
α = 90.00°, β = 90.00°, γ = 90.00°
Closest atoms and distances in Å follow each position.
Space group P4/mbm (No. 127)
One atom of each set of equivalent atoms:
Mn (0.1175, 0.3825, 0.0000) [4 per cell]  3 Mn 2.33-2.59, 6 Fe 2.38-2.53
Fe (0.1633, 0.6633, 0.5000) [4 per cell]  6 Mn 2.38-2.53, 2 Fe 2.59
Hg (0.0000, 0.0000, 0.0000) [2 per cell]  2 Hg 2.59, 4 Mn 2.80



No. 7
Density functional theory data (PBE) for a relaxed structure of NiSn2Ru.

Results
**Raw total energy**: -82.63 eV/cell
**Calculated density**: 6.62 g/cm3
**ΔH_f (0 K)**: 601 meV per atom

a = 5.8605 Å, b = 5.8605 Å, c = 11.5956 Å
α = 90.00°, β = 90.00°, γ = 90.00°
Closest atoms and distances in Å follow each position.
Space group I-42d (No. 122)
One atom of each set of equivalent atoms:
Ni (0.0000, 0.0000, 0.0000) [4 per cell]  4 Sn 2.49
Sn (0.2394, 0.2500, 0.1250) [8 per cell]  2 Ni 2.49, 2 Ru 2.57
Ru (0.0000, 0.0000, 0.5000) [4 per cell]  4 Sn 2.57



No. 8
Density functional theory data (PBE) for a relaxed structure of RbTlTeAsCl.

Results
**Raw total energy**: -16.20 eV/cell
**Offset from the most stable computed form**: 59 meV per atom
**Calculated density**: 4.61 g/cm3
**Formation energy (no corrections)**: -646.6 meV/atom

a = 4.6451 Å, b = 4.3670 Å, c = 9.6496 Å
α = 90.00°, β = 103.63°, γ = 90.00°
Closest atoms and distances in Å follow each position.
Space group Pm (No. 6)
One atom of each set of equivalent atoms:
Rb (0.0000, 0.0000, 0.0000) [1 per cell]  4 Cl 3.33
Tl (0.6871, 0.0000, 0.3868) [1 per cell]  2 Cl 3.43, 2 As 3.47, 4 Te 3.48
Te (0.2596, 0.5000, 0.5355) [1 per cell]  2 As 2.66
As (0.8277, 0.5000, 0.6743) [1 per cell]  2 Te 2.66
Cl (0.5509, 0.5000, 0.1042) [1 per cell]  4 Rb 3.33, 2 Tl 3.43



No. 9
Density functional theory data (PBE) for a relaxed structure of Ag2PbSe.

Results
**Raw total energy**: -25.62 eV/cell
**Calculated density**: 8.67 g/cm3
**Formation energy (no corrections)**: 21.1 meV/atom

a = 6.1774 Å, b = 6.1383 Å, c = 5.7954 Å
α = 90.00°, β = 119.00°, γ = 90.00°
Closest atoms and distances in Å follow each position.
Space group C2/m (No. 12)
One atom of each set of equivalent atoms:
Ag (0.2500, 0.2500, 0.0000) [4 per cell]  2 Se 2.97, 2 Pb 2.97, 4 Ag 3.07-3.09
Pb (0.0000, 0.0000, 0.5000) [2 per cell]  4 Ag 2.97, 4 Se 3.07-3.09
Se (0.0000, 0.5000, 0.5000) [2 per cell]  4 Ag 2.97, 4 Pb 3.07-3.09



No. 10
Density functional theory data (PBE) for a relaxed structure of BaGdPb2.

Results
**Raw total energy**: -74.14 eV/cell
**Offset from the most stable computed form**: 173 meV per atom
**Calculated density**: 8.16 g/cm3
**ΔH_f (0 K)**: -323 meV per atom

a = 4.0539 Å, b = 4.0539 Å, c = 30.4195 Å
α = 90.00°, β = 90.00°, γ = 120.00°
Closest atoms and distances in Å follow each position.
Space group R-3m (No. 166, hexagonal axes)
One atom of each set of equivalent atoms:
Ba (0.0000, 0.0000, 0.0000) [3 per cell]  6 Pb 3.60
Gd (0.0000, 0.0000, 0.5000) [3 per cell]  6 Pb 3.30
Pb (0.0000, 0.0000, 0.2433) [6 per cell]  3 Gd 3.30, 3 Ba 3.60



No. 11
Density functional theory data (PBE) for a relaxed structure of CaDySn6.

Results
**Raw total energy**: -33.91 eV/cell
**Calculated density**: 7.14 g/cm3
**ΔH_f (0 K)**: -412 meV per atom

a = 4.7014 Å, b = 4.7014 Å, c = 9.6232 Å
α = 90.00°, β = 90.00°, γ = 90.00°
Closest atoms and distances in Å follow each position.
Space group P4/mmm (No. 123)
One atom of each set of equivalent atoms:
Ca (0.0000, 0.0000, 0.0000) [1 per cell]  12 Sn 3.32-3.38
Dy (0.0000, 0.0000, 0.5000) [1 per cell]  12 Sn 3.32-3.35
Sn (0.0000, 0.5000, 0.2519) [4 per cell]  8 Sn 3.32-3.38, 2 Dy 3.35, 2 Ca 3.38
Sn (0.5000, 0.5000, 0.0000) [1 per cell]  4 Ca 3.32, 8 Sn 3.38
Sn (0.5000, 0.5000, 0.5000) [1 per cell]  4 Dy 3.32, 8 Sn 3.35



No. 12
Density functional theory data (PBE) for a relaxed structure of Mg7CdAu4.

Results
**Raw total energy**: -58.12 eV/cell
**Calculated density**: 6.99 g/cm3
**ΔH_f (0 K)**: -323 meV per atom

a = 13.0415 Å, b = 5.0237 Å, c = 9.6111 Å
α = 90.00°, β = 126.12°, γ = 90.00°
Closest atoms and distances in Å follow each position.
Space group C2/m (No. 12)
One atom of each set of equivalent atoms:
Mg (0.0000, 0.0000, 0.0000) [2 per cell]  2 Cd 2.51, 4 Au 2.74-2.76
Mg (0.0671, 0.5000, 0.3521) [4 per cell]  3 Au 2.69-2.90, 1 Cd 2.95, 1 Mg 2.99
Mg (0.1704, 0.0000, 0.6066) [4 per cell]  4 Au 2.65-2.88
Mg (0.2170, 0.5000, 0.8740) [4 per cell]  4 Au 2.80-2.97, 2 Mg 2.99-3.13
Cd (0.0000, 0.5000, 0.0000) [2 per cell]  2 Mg 2.51
Au (0.0683, 0.0000, 0.7774) [4 per cell]  7 Mg 2.65-2.97
Au (0.2035, 0.0000, 0.3406) [4 per cell]  6 Mg 2.69-2.88



No. 13
Density functional theory data (PBE) for a relaxed structure of NpIF.

Results
**Raw total energy**: -42.62 eV/cell
**Calculated density**: 7.32 g/cm3
**Formation energy (no corrections)**: -1649.6 meV/atom

a = 3.8337 Å, b = 6.2198 Å, c = 7.5324 Å
α = 90.00°, β = 104.78°, γ = 90.00°
Closest atoms and distances in Å follow each position.
Space group P2_1/m (No. 11)
One atom of each set of equivalent atoms:
Np (0.1908, 0.2500, 0.3822) [2 per cell]  2 F 2.30
I (0.1320, 0.7500, 0.2643) [2 per cell]  4 Np 3.21-3.23
F (0.3972, 0.7500, 0.7933) [2 per cell]  2 Np 2.30



No. 14
Density functional theory data (PBE) for a relaxed structure of PrAgSn2Se4.

Results
**Raw total energy**: -35.66 eV/cell
**Calculated density**: 6.12 g/cm3
**Formation energy (no corrections)**: -760.2 meV/atom

a = 7.1780 Å, b = 4.2608 Å, c = 7.5603 Å
α = 90.00°, β = 109.66°, γ = 90.00°
Closest atoms and distances in Å follow each position.
Space group P2/m (No. 10)
One atom of each set of equivalent atoms:
Pr (0.0000, 0.0000, 0.0000) [1 per cell]  6 Se 2.99
Ag (0.5000, 0.5000, 0.0000) [1 per cell]  6 Se 2.96-3.01
Sn (0.0000, 0.5000, 0.5000) [1 per cell]  6 Se 3.02-3.06
Sn (0.5000, 0.0000, 0.5000) [1 per cell]  6 Se 3.03
Se (0.2471, 0.5000, 0.2466) [2 per cell]  2 Pr 2.99, 1 Ag 3.01, 3 Sn 3.02-3.03
Se (0.2563, 0.0000, 0.7592) [2 per cell]  2 Ag 2.96, 1 Pr 2.99, 3 Sn 3.03-3.06



No. 15
Density functional theory data (PBE) for a relaxed structure of CeNiRu.

Results
**Raw total energy**: -88.62 eV/cell
**Offset from the most stable computed form**: 0 meV per atom
**Calculated density**: 9.98 g/cm3
**ΔH_f (0 K)**: -388 meV per atom

a = 4.8531 Å, b = 5.4339 Å, c = 7.5676 Å
α = 90.00°, β = 90.00°, γ = 90.00°
Closest atoms and distances in Å follow each position.
Space group Imma (No. 74)
One atom of each set of equivalent atoms:
Ce (0.0000, 0.2500, 0.1225) [4 per cell]  6 Ru 2.93-3.16, 6 Ni 3.07-3.13, 2 Ce 3.10
Ni (0.2500, 0.2500, 0.7500) [4 per cell]  2 Ni 2.43, 4 Ru 2.63
Ru (0.0000, 0.0000, 0.5000) [4 per cell]  4 Ni 2.63, 2 Ru 2.72, 4 Ce 2.93



No. 16
Density functional theory data (PBE) for a relaxed structure of Ac6TeIr2Br3.

Results
**Raw total energy**: -130.42 eV/cell
**Calculated density**: 8.06 g/cm3
**Formation energy (no corrections)**: -1223.2 meV/atom

a = 7.9088 Å, b = 13.6799 Å, c = 8.4778 Å
α = 90.00°, β = 108.25°, γ = 90.00°
Closest atoms and distances in Å follow each position.
Space group C2/m (No. 12)
One atom of each set of equivalent atoms:
Ac (0.1985, 0.0000, 0.2028) [4 per cell]  2 Ir 2.99, 1 Te 3.35
Ac (0.2460, 0.1852, 0.7964) [8 per cell]  2 Ir 2.99
Te (0.0000, 0.5000, 0.0000) [2 per cell]  6 Ac 3.35-3.36
Ir (0.0000, 0.1671, 0.0000) [4 per cell]  6 Ac 2.99
Br (0.0000, 0.0000, 0.5000) [2 per cell]  6 Ac 3.36-3.67
Br (0.0000, 0.3424, 0.5000) [4 per cell]  6 Ac 3.41-3.70



No. 17
Density functional theory data (PBE) for a relaxed structure of MnReW2.

Results
**Raw total energy**: -47.15 eV/cell
**Offset from the most stable computed form**: 11 meV per atom
**Calculated density**: 17.17 g/cm3
**ΔH_f (0 K)**: 95 meV per atom

a = 3.1092 Å, b = 3.1092 Å, c = 6.0921 Å
α = 90.00°, β = 90.00°, γ = 90.00°
Closest atoms and distances in Å follow each position.
Space group P4/mmm (No. 123)
One atom of each set of equivalent atoms:
Mn (0.0000, 0.0000, 0.0000) [1 per cell]  8 W 2.63
Re (0.0000, 0.0000, 0.5000) [1 per cell]  8 W 2.72
W (0.5000, 0.5000, 0.2373) [2 per cell]  4 Mn 2.63, 4 Re 2.72, 1 W 2.89



No. 18
Density functional theory data (PBE) for a relaxed structure of Y3Al3In.

Results
**Raw total energy**: -145.78 eV/cell
**Calculated density**: 4.47 g/cm3
**ΔH_f (0 K)**: -441 meV per atom

a = 11.1677 Å, b = 4.5203 Å, c = 14.3992 Å
α = 90.00°, β = 109.12°, γ = 90.00°
Closest atoms and distances in Å follow each position.
Space group C2/m (No. 12)
One atom of each set of equivalent atoms:
Y (0.0224, 0.0000, 0.3748) [4 per cell]  6 Al 3.13-3.27, 3 In 3.25-3.26
Y (0.1075, 0.0000, 0.9257) [4 per cell]  7 Al 3.11-3.30
Y (0.2343, 0.0000, 0.2177) [4 per cell]  6 Al 3.08-3.33, 2 In 3.33
Al (0.0172, 0.5000, 0.2232) [4 per cell]  1 Al 2.66, 1 In 2.79
Al (0.1071, 0.5000, 0.0737) [4 per cell]  2 Al 2.63-2.66
Al (0.1227, 0.5000, 0.5472) [4 per cell]  1 Al 2.63, 2 In 2.74
In (0.2364, 0.5000, 0.3878) [4 per cell]  4 Al 2.74-2.96



No. 19
Density functional theory data (PBE) for a relaxed structure of Ta4CS5.

Results
**Raw total energy**: -173.67 eV/cell
**Calculated density**: 8.58 g/cm3
**Formation energy (no corrections)**: -956.3 meV/atom

a = 15.3160 Å, b = 3.3452 Å, c = 6.9578 Å
α = 90.00°, β = 103.27°, γ = 90.00°
Closest atoms and distances in Å follow each position.
Space group C2/m (No. 12)
One atom of each set of equivalent atoms:
Ta (0.0013, 0.0000, 0.2876) [4 per cell]  2 C 2.24, 1 S 2.45
Ta (0.1423, 0.5000, 0.5750) [4 per cell]  1 C 2.12
C (0.0000, 0.5000, 0.5000) [2 per cell]  6 Ta 2.12-2.24
S (0.0000, 0.5000, 0.0000) [2 per cell]  4 Ta 2.60
S (0.1619, 0.0000, 0.8409) [4 per cell]  3 Ta 2.45-2.46
S (0.1716, 0.0000, 0.3319) [4 per cell]  4 Ta 2.49-2.77



No. 20
Density functional theory data (PBE) for a relaxed structure of YZr2Os.

Results
**Raw total energy**: -34.91 eV/cell
**Offset from the most stable computed form**: 191 meV per atom
**Calculated density**: 8.82 g/cm3
**ΔH_f (0 K)**: -29 meV per atom

a = 3.2764 Å, b = 4.5315 Å, c = 6.0423 Å
α = 90.00°, β = 104.35°, γ = 90.00°
Closest atoms and distances in Å follow each position.
Space group P2/m (No. 10)
One atom of each set of equivalent atoms:
Y (0.0000, 0.0000, 0.0000) [1 per cell]  2 Os 3.06, 8 Zr 3.15-3.37, 2 Y 3.28
Zr (0.3022, 0.5000, 0.7140) [2 per cell]  2 Os 2.76, 1 Zr 2.84
Os (0.5000, 0.0000, 0.5000) [1 per cell]  4 Zr 2.76, 2 Y 3.06